(1)
Mg2Ag2Bi | Alexandria via LeMat-Bulk | PBEsol | optimized geometry; ρ = 7.1 Mg/m³; formation energy from the elements = -0.038 eV/atom; excess energy over the best structure of this formula in the dataset = 106 meV/atom
1.0
3.842 0.000 0.000
0.000 3.842 0.000
-1.921 -1.921 7.527
Bi Ag Mg
1 2 2
Direct
0.000 0.000 0.000 Bi
0.750 0.250 0.500 Ag
0.250 0.750 0.500 Ag
0.610 0.610 0.220 Mg
0.390 0.390 0.780 Mg

(2)
Mg2Ag2Bi | Alexandria via LeMat-Bulk | PBEsol | optimized geometry; ρ = 7.6 Mg/m³; formation energy from the elements = -0.144 eV/atom; excess energy over the best structure of this formula in the dataset = 0 meV/atom
1.0
3.185 0.000 0.000
0.000 8.052 0.000
0.000 0.000 8.052
Mg Bi Ag
4 2 4
Direct
0.500 0.333 0.167 Mg
0.500 0.167 0.667 Mg
0.500 0.833 0.333 Mg
0.500 0.667 0.833 Mg
0.000 0.500 0.500 Bi
0.000 0.000 0.000 Bi
0.000 0.125 0.375 Ag
0.000 0.375 0.875 Ag
0.000 0.625 0.125 Ag
0.000 0.875 0.625 Ag

(3)
MgAgBiO5 | Alexandria via LeMat-Bulk | PBEsol | optimized geometry; formation energy (no corrections) = -0.9781 eV per atom; ρ = 6.1 Mg/m³
1.0
5.586 -0.018 0.000
-0.709 7.791 0.000
0.000 0.000 10.605
Ag O Bi Mg
4 20 4 4
Direct
0.281 0.467 0.124 Ag
0.219 0.033 0.624 Ag
0.781 0.967 0.376 Ag
0.719 0.533 0.876 Ag
0.640 0.661 0.039 O
0.239 0.007 0.043 O
0.248 0.962 0.802 O
0.860 0.839 0.539 O
0.752 0.038 0.198 O
0.564 0.718 0.794 O
0.157 0.665 0.030 O
0.252 0.538 0.302 O
0.657 0.165 0.470 O
0.360 0.339 0.961 O
0.064 0.218 0.706 O
0.739 0.507 0.457 O
0.843 0.335 0.970 O
0.140 0.161 0.461 O
0.936 0.782 0.294 O
0.261 0.493 0.543 O
0.343 0.835 0.530 O
0.436 0.282 0.206 O
0.761 0.993 0.957 O
0.748 0.462 0.698 O
0.424 0.338 0.398 Bi
0.076 0.162 0.898 Bi
0.924 0.838 0.102 Bi
0.576 0.662 0.602 Bi
0.082 0.674 0.438 Mg
0.918 0.326 0.562 Mg
0.582 0.174 0.062 Mg
0.418 0.826 0.938 Mg

(4)
Mg2AgBiRh | Alexandria via LeMat-Bulk | PBEsol | optimized geometry; ρ = 5.5 Mg/m³; formation energy from the elements = 0.843 eV/atom
1.0
-4.730 -0.361 -1.490
1.394 -3.748 -3.519
-0.867 -3.766 3.667
Rh Ag Mg Bi
1 1 2 1
Direct
0.500 0.000 0.000 Rh
0.500 0.500 0.500 Ag
0.000 0.000 0.500 Mg
0.000 0.500 0.000 Mg
0.000 0.000 0.000 Bi

(5)
Mg2ZnAgBi | Alexandria via LeMat-Bulk | PBEsol | optimized geometry; ρ = 5.8 Mg/m³; formation energy from the elements = 0.180 eV/atom
1.0
-1.501 -3.865 2.373
4.674 -0.677 1.854
-1.164 2.904 3.994
Mg Ag Bi Zn
2 1 1 1
Direct
0.000 0.500 0.000 Mg
0.000 0.000 0.500 Mg
0.000 0.000 0.000 Ag
0.500 0.500 0.500 Bi
0.500 0.000 0.000 Zn

(6)
Mn3AgBi | Alexandria via LeMat-Bulk | PBEsol | optimized geometry; ρ = 6.3 Mg/m³; formation energy from the elements = 1.566 eV/atom
1.0
-0.081 -5.006 -0.265
1.443 -0.277 4.794
-4.801 0.001 1.445
Ag Bi Mn
1 1 3
Direct
0.500 0.500 0.500 Ag
0.000 0.000 0.000 Bi
0.000 0.500 0.000 Mn
0.000 0.000 0.500 Mn
0.500 0.000 0.000 Mn

(7)
NbAg2BiN | Alexandria via LeMat-Bulk | PBEsol | optimized geometry; formation energy (no corrections) = 2.2851 eV per atom; ρ = 6.1 Mg/m³
1.0
-2.591 4.234 -1.332
-0.560 -1.841 -4.766
-4.671 -2.395 1.474
Nb Bi N Ag
1 1 1 2
Direct
0.000 0.000 0.500 Nb
0.000 0.000 0.000 Bi
0.500 0.500 0.500 N
0.000 0.500 0.000 Ag
0.500 0.000 0.000 Ag

(8)
SiAg2BiN | Alexandria via LeMat-Bulk | PBEsol | optimized geometry; formation energy (no corrections) = 0.7081 eV per atom; ρ = 8.5 Mg/m³
1.0
-1.840 -0.320 -3.793
-3.594 -1.242 1.849
-1.513 4.860 0.325
Bi N Ag Si
1 1 2 1
Direct
0.000 0.000 0.500 Bi
0.000 0.000 0.000 N
0.000 0.500 0.000 Ag
0.500 0.000 0.000 Ag
0.500 0.500 0.500 Si

(9)
Na2AgBi2 | Alexandria via LeMat-Bulk | PBEsol | optimized geometry; ρ = 6.7 Mg/m³; formation energy from the elements = -0.185 eV/atom
1.0
-3.047 -2.072 3.518
2.576 -6.771 -1.756
5.390 0.728 5.098
Ag Na Bi
2 4 4
Direct
0.000 0.500 0.500 Ag
0.000 0.000 0.000 Ag
0.500 0.836 0.336 Na
0.500 0.336 0.164 Na
0.500 0.164 0.664 Na
0.500 0.664 0.836 Na
0.000 0.147 0.353 Bi
0.000 0.647 0.147 Bi
0.000 0.853 0.647 Bi
0.000 0.353 0.853 Bi

(10)
Nb4AgBi5O18 | Alexandria via LeMat-Bulk | PBEsol | optimized geometry; formation energy (no corrections) = -1.8732 eV per atom; ρ = 7.9 Mg/m³
1.0
-2.633 3.990 -2.706
-2.961 -3.773 -2.763
-10.019 2.297 7.561
Bi Nb O Ag
5 4 18 1
Direct
0.571 0.522 0.400 Bi
0.971 0.522 0.600 Bi
0.260 0.001 0.000 Bi
0.018 0.023 0.398 Bi
0.417 0.023 0.602 Bi
0.178 0.458 0.169 Nb
0.348 0.458 0.831 Nb
0.671 0.951 0.167 Nb
0.838 0.951 0.833 Nb
0.901 0.211 0.125 O
0.982 0.945 0.685 O
0.647 0.634 0.809 O
0.010 0.417 0.313 O
0.116 0.725 0.866 O
0.355 0.124 0.171 O
0.456 0.634 0.191 O
0.323 0.417 0.687 O
0.526 0.124 0.829 O
0.736 0.250 0.505 O
0.982 0.725 0.134 O
0.755 0.748 0.502 O
0.258 0.748 0.498 O
0.666 0.894 0.000 O
0.026 0.211 0.875 O
0.241 0.250 0.495 O
0.325 0.407 0.000 O
0.667 0.945 0.315 O
0.757 0.466 0.000 Ag

(11)
ZrNbAgBi2 | Alexandria via LeMat-Bulk | PBEsol | optimized geometry; ρ = 7.7 Mg/m³; formation energy from the elements = 1.234 eV/atom
1.0
5.121 0.000 0.000
0.000 5.455 0.000
0.000 0.000 5.455
Bi Zr Ag Nb
2 1 1 1
Direct
0.000 0.000 0.500 Bi
0.000 0.500 0.000 Bi
0.000 0.000 0.000 Zr
0.500 0.000 0.000 Ag
0.500 0.500 0.500 Nb

(12)
Ni2Ag2Bi | Alexandria via LeMat-Bulk | PBEsol | optimized geometry; ρ = 10.2 Mg/m³; formation energy from the elements = 0.400 eV/atom
1.0
-3.162 0.680 -0.552
0.094 -1.792 -2.747
-0.652 -6.128 5.936
Ag Ni Bi
2 2 1
Direct
0.625 0.625 0.250 Ag
0.375 0.375 0.750 Ag
0.750 0.250 0.500 Ni
0.250 0.750 0.500 Ni
0.000 0.000 0.000 Bi